A relaxed CsPuHg2Br8 crystal. Source: Alexandria, functional PBE.

- ΔE_f (raw) (eV per atom) = -1.022
- raw total energy (Ry per atom) = -0.254
- density of states at the Fermi level (states/eV per atom) = 0.80

Cell: 6.8541 7.9962 10.2344 Å, 69.48 82.48 87.93°
Sites, in units of the cell vectors:
Cs1 0.0000 0.0000 0.0000
Pu1 0.0000 0.5000 0.5000
Hg1 0.4463 0.5381 0.2026
Hg2 0.5537 0.4619 0.7974
Br1 0.1450 0.4660 0.7612
Br2 0.2469 0.7962 0.3338
Br3 0.3053 0.2715 0.4212
Br4 0.4775 0.7639 0.9523
Br5 0.5225 0.2361 0.0477
Br6 0.6947 0.7285 0.5788
Br7 0.7531 0.2038 0.6662
Br8 0.8550 0.5340 0.2388